## CeCr3B4O12 (PBE with a Hubbard U)

Data for CeCr3B4O12 after structural relaxation.

E, eV for the cell shown: -488.32
V, Å³/f.u.: 207

Lattice parameters (Å, degrees): 9.6470 9.6470 7.7052 90.00 90.00 120.00
Space group R32 (No. 155, hexagonal axes)
Inequivalent atoms, fractional coordinates:
Ce  0.0000  0.0000  0.0000
Cr  0.0000  0.5547  0.0000
B  0.0000  0.0000  0.5000
B  0.0000  0.4433  0.5000
O  0.0000  0.5880  0.5000
O  0.0000  0.8559  0.5000
O  0.0279  0.2159  0.1851